Record 1
MgMnN2 after structural relaxation. Source: Alexandria, functional PBE-GGA.

Results
The total magnetic moment is 0.9 μB per formula unit. Its symmetry is Pna2_1 (33). Its total energy is -7.305 eV per atom. As for the calculated density: 3884 kg/m³.

Unit cell a=5.1362 b=5.5696 c=6.4117 alpha=90.00 beta=90.00 gamma=90.00
Atoms (fractional coordinates):
1 Mg 0.9972 0.5968 0.8790
2 Mg 0.4972 0.4032 0.1210
3 Mg 0.4972 0.9032 0.3790
4 Mg 0.9972 0.0968 0.6210
5 Mn 0.0066 0.5739 0.3712
6 Mn 0.5066 0.4261 0.6288
7 Mn 0.5066 0.9261 0.8712
8 Mn 0.0066 0.0739 0.1288
9 N 0.3549 0.5528 0.3989
10 N 0.8549 0.4472 0.6011
11 N 0.8549 0.9472 0.8989
12 N 0.3549 0.0528 0.1011
13 N 0.4113 0.6096 0.8534
14 N 0.9113 0.3904 0.1466
15 N 0.9113 0.8904 0.3534
16 N 0.4113 0.1096 0.6466

---

Record 2
Mg4MnN4 after structural relaxation. Source: Alexandria, functional PBE-GGA.

Results
The total magnetic moment is 3.0 μB per formula unit. Its symmetry is P-1 (2). Its total energy is -6.016 eV per atom. As for the calculated density: 3281 kg/m³.

Unit cell a=5.3420 b=5.3725 c=8.3262 alpha=70.17 beta=82.59 gamma=69.64
Atoms (fractional coordinates):
1 Mg 0.7300 0.6242 0.2055
2 Mg 0.2700 0.3758 0.7945
3 Mg 0.7486 0.2488 0.9992
4 Mg 0.2514 0.7512 0.0008
5 Mg 0.7384 0.4752 0.5809
6 Mg 0.2616 0.5248 0.4191
7 Mg 0.2580 0.9398 0.5875
8 Mg 0.7420 0.0602 0.4125
9 Mn 0.7283 0.8398 0.7699
10 Mn 0.2717 0.1602 0.2301
11 N 0.9881 0.6985 0.6114
12 N 0.0119 0.3015 0.3886
13 N 0.8351 0.8507 0.9648
14 N 0.1649 0.1493 0.0352
15 N 0.5109 0.6111 0.8031
16 N 0.4891 0.3889 0.1969
17 N 0.4896 0.8174 0.3793
18 N 0.5104 0.1826 0.6207

---

Record 3
Mg3MnN after structural relaxation. Source: Alexandria, functional PBE-GGA.

Results
The total magnetic moment is 4.0 μB per formula unit. Its symmetry is Pm-3m (221). As for the offset from the most stable computed form: 0.000 eV/atom. As for the calculated density: 2928 kg/m³.

Unit cell a=4.3170 b=4.3170 c=4.3170 alpha=90.00 beta=90.00 gamma=90.00
Atoms (fractional coordinates):
1 Mg 0.0000 0.5000 0.0000
2 Mg 0.0000 0.0000 0.5000
3 Mg 0.5000 0.0000 0.0000
4 Mn 0.5000 0.5000 0.5000
5 N 0.0000 0.0000 0.0000

---

Record 4
MgMn2N2 after structural relaxation. Source: Alexandria, functional PBE-GGA.

Results
The total magnetic moment is 4.6 μB per formula unit. Its symmetry is P-4m2 (115). Its total energy is -7.211 eV per atom. As for the calculated density: 4064 kg/m³.

Unit cell a=3.6141 b=3.6141 c=5.0734 alpha=90.00 beta=90.00 gamma=90.00
Atoms (fractional coordinates):
1 Mg 0.0000 0.0000 0.0000
2 Mn 0.5000 0.5000 0.7453
3 Mn 0.5000 0.5000 0.2547
4 N 0.5000 0.0000 0.2543
5 N 0.0000 0.5000 0.7457

---

Record 5
MgMn10N8 after structural relaxation. Source: Alexandria, functional PBE-GGA.

Results
The total magnetic moment is 17.9 μB per formula unit. Its symmetry is C2/m (12). Its total energy is -8.709 eV per atom. As for the calculated density: 6042 kg/m³.

Unit cell a=7.5706 b=4.0761 c=6.6414 alpha=90.00 beta=73.38 gamma=74.38
Atoms (fractional coordinates):
1 Mg 0.0000 0.5000 0.5000
2 Mn 0.4355 0.7823 0.8243
3 Mn 0.5645 0.2177 0.1757
4 Mn 0.0847 0.9576 0.7821
5 Mn 0.9153 0.0424 0.2179
6 Mn 0.6400 0.6800 0.4218
7 Mn 0.3600 0.3200 0.5782
8 Mn 0.8058 0.5971 0.9642
9 Mn 0.1942 0.4029 0.0358
10 Mn 0.2973 0.8514 0.2877
11 Mn 0.7027 0.1486 0.7123
12 N 0.1967 0.9016 0.0460
13 N 0.8033 0.0984 0.9540
14 N 0.3515 0.8242 0.5723
15 N 0.6485 0.1758 0.4277
16 N 0.7092 0.6454 0.7077
17 N 0.2908 0.3546 0.2923
18 N 0.9039 0.5481 0.2229
19 N 0.0961 0.4519 0.7771

---

Record 6
Mg5Mn3N12 after structural relaxation. Source: Alexandria, functional PBE-GGA.

Results
The total magnetic moment is 7.0 μB per formula unit. Its symmetry is Ia-3d (230). Its total energy is -6.614 eV per atom. As for the calculated density: 3190 kg/m³.

Unit cell a=10.7114 b=10.7114 c=10.7114 alpha=109.47 beta=109.47 gamma=109.47
Atoms (fractional coordinates):
1 Mn 0.7500 0.3750 0.1250
2 Mn 0.8750 0.7500 0.1250
3 Mn 0.3750 0.7500 0.6250
4 Mn 0.2500 0.1250 0.3750
5 Mn 0.8750 0.1250 0.2500
6 Mn 0.3750 0.6250 0.2500
7 Mn 0.6250 0.3750 0.7500
8 Mn 0.1250 0.8750 0.7500
9 Mn 0.7500 0.8750 0.6250
10 Mn 0.6250 0.2500 0.3750
11 Mn 0.1250 0.2500 0.8750
12 Mn 0.2500 0.6250 0.8750
13 Mg 0.1250 0.3750 0.2500
14 Mg 0.0000 0.5000 0.0000
15 Mg 0.0000 0.0000 0.0000
16 Mg 0.3750 0.2500 0.1250
17 Mg 0.5000 0.0000 0.5000
18 Mg 0.5000 0.5000 0.0000
19 Mg 0.1250 0.7500 0.3750
20 Mg 0.7500 0.1250 0.8750
21 Mg 0.7500 0.6250 0.3750
22 Mg 0.3750 0.1250 0.7500
23 Mg 0.6250 0.8750 0.2500
24 Mg 0.5000 0.5000 0.5000
25 Mg 0.5000 0.0000 0.0000
26 Mg 0.0000 0.0000 0.5000
27 Mg 0.2500 0.3750 0.6250
28 Mg 0.2500 0.8750 0.1250
29 Mg 0.0000 0.5000 0.5000
30 Mg 0.8750 0.2500 0.6250
31 Mg 0.6250 0.7500 0.8750
32 Mg 0.8750 0.6250 0.7500
33 N 0.8005 0.1741 0.0929
34 N 0.2924 0.5929 0.4188
35 N 0.9071 0.3259 0.1995
36 N 0.5929 0.3005 0.1741
37 N 0.6264 0.8005 0.7076
38 N 0.9071 0.5812 0.2076
39 N 0.2924 0.6995 0.3736
40 N 0.0812 0.8736 0.1741
41 N 0.5812 0.9071 0.7076
42 N 0.8005 0.6264 0.2076
43 N 0.6995 0.4071 0.3259
44 N 0.7924 0.9188 0.0929
45 N 0.1741 0.8005 0.5929
46 N 0.3259 0.4188 0.1264
47 N 0.1264 0.9188 0.3259
48 N 0.3736 0.1741 0.5812
49 N 0.1264 0.2076 0.3005
50 N 0.4071 0.7076 0.0812
51 N 0.7924 0.8736 0.1995
52 N 0.1741 0.3736 0.0812
53 N 0.3259 0.9071 0.6995
54 N 0.5812 0.6741 0.3736
55 N 0.9188 0.7924 0.5929
56 N 0.6995 0.2924 0.8736
57 N 0.4188 0.3259 0.6264
58 N 0.0812 0.2076 0.4071
59 N 0.3005 0.7076 0.1264
60 N 0.2076 0.1264 0.8005
61 N 0.6741 0.0929 0.3005
62 N 0.8259 0.6264 0.9188
63 N 0.5929 0.2924 0.9188
64 N 0.6264 0.8259 0.4188
65 N 0.8736 0.7924 0.6995
66 N 0.8736 0.0812 0.6741
67 N 0.8259 0.1995 0.4071
68 N 0.2076 0.0812 0.9071
69 N 0.6741 0.5812 0.8736
70 N 0.4188 0.0929 0.2924
71 N 0.1995 0.3736 0.7924
72 N 0.3005 0.5929 0.6741
73 N 0.9188 0.1264 0.8259
74 N 0.7076 0.3005 0.6264
75 N 0.4071 0.6995 0.8259
76 N 0.0929 0.4188 0.7924
77 N 0.3736 0.1995 0.2924
78 N 0.0929 0.6741 0.8005
79 N 0.7076 0.4071 0.5812
80 N 0.1995 0.8259 0.9071

---

Record 7
MgMnN2 after structural relaxation. Source: Alexandria, functional PBE-GGA.

Results
The total magnetic moment is 1.3 μB per formula unit. Its symmetry is R-3m (166). Its total energy is -6.558 eV per atom. As for the calculated density: 3509 kg/m³.

Unit cell a=5.9659 b=5.9659 c=5.9659 alpha=31.26 beta=31.26 gamma=31.26
Atoms (fractional coordinates):
1 Mg 0.5000 0.5000 0.5000
2 Mn 0.0000 0.0000 0.0000
3 N 0.9003 0.9003 0.9003
4 N 0.0997 0.0997 0.0997

---

Record 8
Mg2MnN after structural relaxation. Source: Alexandria, functional PBE-GGA.

Results
The total magnetic moment is 1.8 μB per formula unit. Its symmetry is I-42d (122). As for the offset from the most stable computed form: 0.000 eV/atom. As for the calculated density: 3100 kg/m³.

Unit cell a=8.3312 b=8.3312 c=6.1641 alpha=47.48 beta=47.48 gamma=90.00
Atoms (fractional coordinates):
1 Mg 0.4731 0.1250 0.2500
2 Mg 0.2769 0.6250 0.2500
3 Mg 0.3750 0.5269 0.7500
4 Mg 0.8750 0.7231 0.7500
5 Mn 0.0000 0.0000 0.0000
6 Mn 0.7500 0.2500 0.5000
7 N 0.5000 0.5000 0.0000
8 N 0.2500 0.7500 0.5000